# 1
The following is a DFT calculation (PBE) of Ba8Pt3AuI4 after structural relaxation.

Values from the calculation:
DFT total energy in eV per atom: -3.81
Calculated volume in A^3/atom: 41.10
E_form (uncorrected) in meV per atom: -1127

Cell and atoms, written as CIF:
```
data_Ba8Pt3AuI4
_cell_length_a 9.3172
_cell_length_b 9.3172
_cell_length_c 26.2423
_cell_angle_alpha 90.00
_cell_angle_beta 90.00
_cell_angle_gamma 120.00
_space_group_name_H-M_alt 'R -3 m'
_space_group_IT_number 166
_space_group_name_Hall '-R 3 2"'
loop_
_atom_site_label
_atom_site_fract_x
_atom_site_fract_y
_atom_site_fract_z
_atom_site_occupancy
Ba1 0.0000 0.0000 0.2331 1
Ba2 0.0096 0.5048 0.7658 1
Pt1 0.0000 0.5000 0.5000 1
Au1 0.0000 0.0000 0.5000 1
I1 0.0000 0.0000 0.0000 1
I2 0.0000 0.5000 0.0000 1
```

***

# 2
The following is a DFT calculation (PBE) of RbTl2In2Bi2 after structural relaxation.

Values from the calculation:
Formation energy in eV/f.u.: -0.6
DFT total energy in eV per atom: -2.79
Calculated volume in A^3/atom: 36.68

Cell and atoms, written as CIF:
```
data_RbTl2In2Bi2
_cell_length_a 5.6336
_cell_length_b 5.6336
_cell_length_c 28.0274
_cell_angle_alpha 90.00
_cell_angle_beta 90.00
_cell_angle_gamma 120.00
_space_group_name_H-M_alt 'R -3 m'
_space_group_IT_number 166
_space_group_name_Hall '-R 3 2"'
loop_
_atom_site_label
_atom_site_fract_x
_atom_site_fract_y
_atom_site_fract_z
_atom_site_occupancy
Rb1 0.0000 0.0000 0.0000 1
Tl1 0.0000 0.0000 0.1332 1
In1 0.0000 0.0000 0.4430 1
Bi1 0.0000 0.0000 0.2462 1
```

***

# 3
The following is a DFT calculation (PBE) of CrCo2Au after structural relaxation.

Values from the calculation:
Formation energy in eV/f.u.: 1.5
DFT total energy in eV per atom: -6.41
Calculated volume in A^3/atom: 12.94

Cell and atoms, written as CIF:
```
data_CrCo2Au
_cell_length_a 5.3519
_cell_length_b 6.9420
_cell_length_c 2.7855
_cell_angle_alpha 90.00
_cell_angle_beta 90.00
_cell_angle_gamma 90.00
_space_group_name_H-M_alt 'C m m m'
_space_group_IT_number 65
_space_group_name_Hall '-C 2 2'
loop_
_atom_site_label
_atom_site_fract_x
_atom_site_fract_y
_atom_site_fract_z
_atom_site_occupancy
Cr1 0.0000 0.0000 0.0000 1
Co1 0.2500 0.2500 0.5000 1
Au1 0.0000 0.5000 0.0000 1
```

***

# 4
The following is a DFT calculation (PBE) of TlSi2Ag after structural relaxation.

Values from the calculation:
DFT total energy in eV per atom: -3.75
Calculated volume in A^3/atom: 21.50
E_form (uncorrected) in meV per atom: 265

Cell and atoms, written as CIF:
```
data_TlSi2Ag
_cell_length_a 6.5348
_cell_length_b 3.7849
_cell_length_c 7.3284
_cell_angle_alpha 90.00
_cell_angle_beta 108.41
_cell_angle_gamma 90.00
_space_group_name_H-M_alt 'C 1 m 1'
_space_group_IT_number 8
loop_
_space_group_symop_operation_xyz
'x,y,z'
'x,-y,z'
'x+1/2,y+1/2,z'
'x+1/2,-y+1/2,z'
loop_
_atom_site_label
_atom_site_fract_x
_atom_site_fract_y
_atom_site_fract_z
_atom_site_occupancy
Tl1 0.0000 0.0000 0.0000 1
Si1 0.2631 0.5000 0.3221 1
Si2 0.4771 0.0000 0.4555 1
Ag1 0.2269 0.0000 0.6932 1
```

***

# 5
The following is a DFT calculation (PBE) of PrZr2Se4 after structural relaxation.

Values from the calculation:
DFT total energy in eV per atom: -6.52
Calculated volume in A^3/atom: 24.26
E_form (uncorrected) in meV per atom: -1406

Cell and atoms, written as CIF:
```
data_PrZr2Se4
_cell_length_a 3.8713
_cell_length_b 12.6302
_cell_length_c 13.8938
_cell_angle_alpha 90.00
_cell_angle_beta 90.00
_cell_angle_gamma 90.00
_space_group_name_H-M_alt 'C m c m'
_space_group_IT_number 63
_space_group_name_Hall '-C 2c 2'
loop_
_atom_site_label
_atom_site_fract_x
_atom_site_fract_y
_atom_site_fract_z
_atom_site_occupancy
Pr1 0.0000 0.1056 0.2500 1
Zr1 0.0000 0.3523 0.0587 1
Se1 0.0000 0.0000 0.0000 1
Se2 0.0000 0.2815 0.6238 1
Se3 0.0000 0.4316 0.2500 1
```

***

# 6
The following is a DFT calculation (PBE) of Dy2Ni4P3Pt after structural relaxation.

Values from the calculation:
Formation energy in eV/f.u.: -8.8
DFT total energy in eV per atom: -6.34
Calculated volume in A^3/atom: 14.80

Cell and atoms, written as CIF:
```
data_Dy2Ni4P3Pt
_cell_length_a 3.8535
_cell_length_b 3.8535
_cell_length_c 9.9678
_cell_angle_alpha 90.00
_cell_angle_beta 90.00
_cell_angle_gamma 90.00
_space_group_name_H-M_alt 'P -4 m 2'
_space_group_IT_number 115
loop_
_space_group_symop_operation_xyz
'x,y,z'
'y,-x,-z'
'-x,-y,z'
'-y,x,-z'
'-x,y,z'
'-y,-x,-z'
'x,-y,z'
'y,x,-z'
loop_
_atom_site_label
_atom_site_fract_x
_atom_site_fract_y
_atom_site_fract_z
_atom_site_occupancy
Dy1 0.0000 0.5000 0.2450 1
Ni1 0.0000 0.0000 0.0000 1
Ni2 0.0000 0.5000 0.6574 1
Ni3 0.5000 0.5000 0.0000 1
P1 0.0000 0.5000 0.8746 1
P2 0.5000 0.5000 0.5000 1
Pt1 0.0000 0.0000 0.5000 1
```

***

# 7
The following is a DFT calculation (PBE) of Ti6Si2H after structural relaxation.

Values from the calculation:
DFT total energy in eV per atom: -7.33
Calculated volume in A^3/atom: 14.61

Cell and atoms, written as CIF:
```
data_Ti6Si2H
_cell_length_a 5.2006
_cell_length_b 6.3716
_cell_length_c 9.4826
_cell_angle_alpha 90.00
_cell_angle_beta 123.16
_cell_angle_gamma 90.00
_space_group_name_H-M_alt 'P 1 21/c 1'
_space_group_IT_number 14
loop_
_space_group_symop_operation_xyz
'x,y,z'
'-x,-y,-z'
'-x,y+1/2,-z+1/2'
'x,-y+1/2,z+1/2'
loop_
_atom_site_label
_atom_site_fract_x
_atom_site_fract_y
_atom_site_fract_z
_atom_site_occupancy
Ti1 0.0948 0.1933 0.4618 1
Ti2 0.3275 0.6890 0.4630 1
Ti3 0.3731 0.0224 0.2566 1
Si1 0.1593 0.1090 0.7489 1
H1 0.0000 0.0000 0.0000 1
```

***

# 8
The following is a DFT calculation (PBE) of CsKNaZn after structural relaxation.

Values from the calculation:
Formation energy in eV/f.u.: 0.6
DFT total energy in eV per atom: -1.00
Calculated volume in A^3/atom: 51.56

Cell and atoms, written as CIF:
```
data_CsKNaZn
_cell_length_a 9.3787
_cell_length_b 9.3787
_cell_length_c 9.3787
_cell_angle_alpha 90.00
_cell_angle_beta 90.00
_cell_angle_gamma 90.00
_space_group_name_H-M_alt 'F -4 3 m'
_space_group_IT_number 216
_space_group_name_Hall 'F -4 2 3'
loop_
_atom_site_label
_atom_site_fract_x
_atom_site_fract_y
_atom_site_fract_z
_atom_site_occupancy
Cs1 0.0000 0.0000 0.0000 1
K1 0.0000 0.0000 0.5000 1
Na1 0.2500 0.2500 0.7500 1
Zn1 0.2500 0.2500 0.2500 1
```

***

# 9
The following is a DFT calculation (PBE) of Tm6Si2Ge after structural relaxation.

Values from the calculation:
DFT total energy in eV per atom: -5.18
Calculated volume in A^3/atom: 25.22
E_form (uncorrected) in meV per atom: -476

Cell and atoms, written as CIF:
```
data_Tm6Si2Ge
_cell_length_a 6.0982
_cell_length_b 7.8664
_cell_length_c 11.0850
_cell_angle_alpha 90.00
_cell_angle_beta 121.39
_cell_angle_gamma 90.00
_space_group_name_H-M_alt 'P 1 21/c 1'
_space_group_IT_number 14
loop_
_space_group_symop_operation_xyz
'x,y,z'
'-x,-y,-z'
'-x,y+1/2,-z+1/2'
'x,-y+1/2,z+1/2'
loop_
_atom_site_label
_atom_site_fract_x
_atom_site_fract_y
_atom_site_fract_z
_atom_site_occupancy
Tm1 0.0850 0.1672 0.4420 1
Tm2 0.3086 0.6865 0.4355 1
Tm3 0.4081 0.0437 0.2692 1
Si1 0.1786 0.1191 0.7512 1
Ge1 0.0000 0.0000 0.0000 1
```

***

# 10
The following is a DFT calculation (PBE) of Pm2Dy3Ho9 after structural relaxation.

Values from the calculation:
Formation energy in eV/f.u.: 1.2
DFT total energy in eV per atom: -4.53
Calculated volume in A^3/atom: 31.85

Cell and atoms, written as CIF:
```
data_Pm2Dy3Ho9
_cell_length_a 6.4005
_cell_length_b 8.3734
_cell_length_c 8.8699
_cell_angle_alpha 87.25
_cell_angle_beta 82.92
_cell_angle_gamma 70.94
_space_group_name_H-M_alt 'P 1'
_space_group_IT_number 1
loop_
_space_group_symop_operation_xyz
'x,y,z'
loop_
_atom_site_label
_atom_site_fract_x
_atom_site_fract_y
_atom_site_fract_z
_atom_site_occupancy
Pm1 0.0000 0.0000 0.0000 1
Pm2 0.1453 0.6456 0.1970 1
Dy1 0.3520 0.0935 0.7482 1
Dy2 0.5223 0.2966 0.0350 1
Dy3 0.6815 0.6040 0.4089 1
Ho1 0.0742 0.2526 0.2559 1
Ho2 0.2012 0.9009 0.4563 1
Ho3 0.2296 0.4455 0.5358 1
Ho4 0.3958 0.6559 0.7889 1
Ho5 0.5460 0.8562 0.0793 1
Ho6 0.6464 0.0584 0.3737 1
Ho7 0.8052 0.2489 0.6575 1
Ho8 0.8377 0.8145 0.7018 1
Ho9 0.9592 0.4634 0.9194 1
```

***

# 11
The following is a DFT calculation (PBE) of KTl2ZnAg after structural relaxation.

Values from the calculation:
Formation energy in eV/f.u.: 0.7
DFT total energy in eV per atom: -1.86
Calculated volume in A^3/atom: 32.64

Cell and atoms, written as CIF:
```
data_KTl2ZnAg
_cell_length_a 5.6267
_cell_length_b 5.6267
_cell_length_c 5.1542
_cell_angle_alpha 90.00
_cell_angle_beta 90.00
_cell_angle_gamma 90.00
_space_group_name_H-M_alt 'P 4/m m m'
_space_group_IT_number 123
_space_group_name_Hall '-P 4 2'
loop_
_atom_site_label
_atom_site_fract_x
_atom_site_fract_y
_atom_site_fract_z
_atom_site_occupancy
K1 0.0000 0.0000 0.0000 1
Tl1 0.0000 0.5000 0.5000 1
Zn1 0.5000 0.5000 0.0000 1
Ag1 0.5000 0.5000 0.5000 1
```

***

# 12
The following is a DFT calculation (PBE) of Ca2HfGe3Ir4 after structural relaxation.

Values from the calculation:
Formation energy in eV/f.u.: -7.2
DFT total energy in eV per atom: -7.04
Calculated volume in A^3/atom: 19.11

Cell and atoms, written as CIF:
```
data_Ca2HfGe3Ir4
_cell_length_a 4.1792
_cell_length_b 4.1792
_cell_length_c 10.9433
_cell_angle_alpha 90.00
_cell_angle_beta 90.00
_cell_angle_gamma 90.00
_space_group_name_H-M_alt 'P -4 m 2'
_space_group_IT_number 115
loop_
_space_group_symop_operation_xyz
'x,y,z'
'y,-x,-z'
'-x,-y,z'
'-y,x,-z'
'-x,y,z'
'-y,-x,-z'
'x,-y,z'
'y,x,-z'
loop_
_atom_site_label
_atom_site_fract_x
_atom_site_fract_y
_atom_site_fract_z
_atom_site_occupancy
Ca1 0.0000 0.5000 0.2324 1
Hf1 0.0000 0.0000 0.5000 1
Ge1 0.0000 0.5000 0.8750 1
Ge2 0.5000 0.5000 0.5000 1
Ir1 0.0000 0.0000 0.0000 1
Ir2 0.0000 0.5000 0.6451 1
Ir3 0.5000 0.5000 0.0000 1
```

***

> Among the records above, which one has the lowest calculated volume?

CrCo2Au